Entry from the Alexandria database: a geometry-optimized La4SbTe2P structure (PBE-GGA).

Cell: 4.4856 7.8996 7.8180 Å, 70.94 90.00 90.00°
With the nearest neighbours (Å) after each atom.
Fractional coordinates of all 8 atoms:
La: 0.0000 0.7320 0.7408  1 P 3.03, 2 Sb 3.17, 3 Te 3.23-3.37
La: 0.0000 0.2680 0.2592  1 P 3.03, 2 Sb 3.17, 3 Te 3.23-3.37
La: 0.5000 0.7229 0.2725  2 P 3.04, 1 Sb 3.18, 3 Te 3.24-3.36
La: 0.5000 0.2771 0.7275  2 P 3.04, 1 Sb 3.18, 3 Te 3.24-3.36
Sb: 0.5000 0.5000 0.0000  6 La 3.17-3.18
Te: 0.0000 0.0000 0.0000  6 La 3.36-3.37
Te: 0.5000 0.0000 0.5000  6 La 3.23-3.24
P: 0.0000 0.5000 0.5000  6 La 3.03-3.04

## Properties
* spin magnetization: 0.0 μB/f.u.
* crystal system: monoclinic
* formation energy (no corrections): -1548 meV per atom

=====

Entry from the Alexandria database: a geometry-optimized La2CeDyBi4 structure (PBE-GGA).

Cell: 4.6277 8.0019 8.0099 Å, 109.48 90.00 90.00°
With the nearest neighbours (Å) after each atom.
Fractional coordinates of all 8 atoms:
La: 0.5000 0.0000 0.5000  6 Bi 3.30
La: 0.0000 0.5000 0.5000  6 Bi 3.33
Ce: 0.5000 0.5000 0.0000  6 Bi 3.24
Dy: 0.0000 0.0000 0.0000  6 Bi 3.21-3.22
Bi: 0.5000 0.2439 0.2391  2 Dy 3.22, 1 Ce 3.24, 3 La 3.30-3.33
Bi: 0.5000 0.7561 0.7609  2 Dy 3.22, 1 Ce 3.24, 3 La 3.30-3.33
Bi: 0.0000 0.2503 0.7590  1 Dy 3.21, 2 Ce 3.24, 3 La 3.30-3.33
Bi: 0.0000 0.7497 0.2410  1 Dy 3.21, 2 Ce 3.24, 3 La 3.30-3.33

## Properties
* calculated formation energy: -938 meV/atom
* spin magnetization: 0.8 μB/f.u.
* crystal system: monoclinic

=====

Entry from the Alexandria database: a geometry-optimized HfNb3Hg structure (PBE-GGA).

Cell: 4.9278 4.9278 4.9278 Å, 90.00 90.00 90.00°
With the nearest neighbours (Å) after each atom.
Fractional coordinates of all 5 atoms:
Nb: 0.0000 0.5000 0.0000  2 Hf 2.46
Nb: 0.0000 0.0000 0.5000  2 Hf 2.46
Nb: 0.5000 0.0000 0.0000  2 Hf 2.46
Hf: 0.0000 0.0000 0.0000  6 Nb 2.46
Hg: 0.5000 0.5000 0.5000  12 Nb 3.48

## Properties
* calculated formation energy: 1542 meV/atom
* energy relative to the lowest polymorph listed for this composition: 0 meV per atom
* spin magnetization: 0.0 μB/f.u.
* crystal system: cubic

=====

Entry from the Alexandria database: a geometry-optimized AlMo3 structure (PBE-GGA).

Cell: 5.2370 5.5869 8.6347 Å, 90.00 90.00 90.00°
With the nearest neighbours (Å) after each atom.
Fractional coordinates of all 16 atoms:
Mo: 0.1301 0.0172 0.7500  3 Al 2.65-2.68, 4 Mo 2.66-2.89
Mo: 0.6301 0.4828 0.2500  3 Al 2.65-2.68, 4 Mo 2.66-2.89
Mo: 0.3699 0.5172 0.7500  3 Al 2.65-2.68, 4 Mo 2.66-2.89
Mo: 0.8699 0.9828 0.2500  3 Al 2.65-2.68, 4 Mo 2.66-2.89
Mo: 0.6135 0.2339 0.9872  5 Mo 2.63-2.89, 3 Al 2.66-2.76
Mo: 0.1135 0.2661 0.0128  5 Mo 2.63-2.89, 3 Al 2.66-2.76
Mo: 0.8865 0.7339 0.5128  5 Mo 2.63-2.89, 3 Al 2.66-2.76
Mo: 0.3865 0.7661 0.4872  5 Mo 2.63-2.89, 3 Al 2.66-2.76
Mo: 0.3865 0.7661 0.0128  5 Mo 2.63-2.89, 3 Al 2.66-2.76
Mo: 0.8865 0.7339 0.9872  5 Mo 2.63-2.89, 3 Al 2.66-2.76
Mo: 0.1135 0.2661 0.4872  5 Mo 2.63-2.89, 3 Al 2.66-2.76
Mo: 0.6135 0.2339 0.5128  5 Mo 2.63-2.89, 3 Al 2.66-2.76
Al: 0.6282 0.9311 0.7500  9 Mo 2.65-2.76
Al: 0.1282 0.5689 0.2500  9 Mo 2.65-2.76
Al: 0.8718 0.4311 0.7500  9 Mo 2.65-2.76
Al: 0.3718 0.0689 0.2500  9 Mo 2.65-2.76

## Properties
* calculated formation energy: 82 meV/atom
* energy relative to the lowest polymorph listed for this composition: 335 meV per atom
* spin magnetization: 0.0 μB/f.u.
* crystal system: orthorhombic

=====

Entry from the Alexandria database: a geometry-optimized PmSmNiGe structure (PBE-GGA).

Cell: 5.0546 5.0546 5.0546 Å, 60.00 60.00 60.00°
With the nearest neighbours (Å) after each atom.
Fractional coordinates of all 4 atoms:
Ni: 0.0000 0.0000 0.0000  4 Pm 3.10, 4 Sm 3.10
Ge: 0.5000 0.5000 0.5000  4 Pm 3.10, 4 Sm 3.10
Sm: 0.2500 0.2500 0.2500  4 Ge 3.10, 4 Ni 3.10
Pm: 0.7500 0.7500 0.7500  4 Ni 3.10, 4 Ge 3.10

## Properties
* calculated formation energy: -466 meV/atom
* spin magnetization: 0.0 μB/f.u.
* crystal system: cubic

=====

Entry from the Alexandria database: a geometry-optimized TaAsCl2 structure (PBE-GGA).

Cell: 8.0777 8.0777 8.0777 Å, 158.89 144.97 41.26°
With the nearest neighbours (Å) after each atom.
Fractional coordinates of all 4 atoms:
As: 0.3578 0.8578 0.5000  2 Ta 2.66, 2 As 2.96
Cl: 0.0034 0.0034 0.0000  4 Ta 2.85, 4 Cl 2.96-3.14
Cl: 0.6347 0.1347 0.5000  2 Ta 2.47
Ta: 0.5041 0.5041 0.0000  2 Cl 2.47, 2 As 2.66

## Properties
* energy relative to the lowest polymorph listed for this composition: 340 meV per atom
* spin magnetization: 0.2 μB/f.u.
* crystal system: orthorhombic
* formation energy (no corrections): -294 meV per atom

=====

Entry from the Alexandria database: a geometry-optimized CsBeMoN2 structure (PBE-GGA).

Cell: 4.0362 6.0140 4.0362 Å, 90.00 90.00 90.00°
With the nearest neighbours (Å) after each atom.
Fractional coordinates of all 5 atoms:
Cs: 0.0000 0.5000 0.0000  4 Be 2.85, 2 Mo 3.01
Be: 0.5000 0.5000 0.5000  4 Cs 2.85
Mo: 0.0000 0.0000 0.0000  4 N 2.02
N: 0.0000 0.0000 0.5000  2 Mo 2.02
N: 0.5000 0.0000 0.0000  2 Mo 2.02

## Properties
* spin magnetization: 0.0 μB/f.u.
* crystal system: tetragonal
* formation energy (no corrections): 1442 meV per atom

=====

Entry from the Alexandria database: a geometry-optimized NaPu5S6 structure (PBE-GGA).

Cell: 6.8942 6.9013 6.8932 Å, 59.96 80.44 70.63°
With the nearest neighbours (Å) after each atom.
Fractional coordinates of all 12 atoms:
Na: 0.0000 0.0000 0.0000  6 S 2.83-2.87
S: 0.7477 0.0819 0.3421  5 Pu 2.78-2.84, 1 Na 2.87
S: 0.2523 0.5760 0.3421  5 Pu 2.78-2.84, 1 Na 2.87
S: 0.2500 0.2530 0.0000  5 Pu 2.80-2.81, 1 Na 2.83
S: 0.7500 0.7470 0.0000  5 Pu 2.80-2.81, 1 Na 2.83
S: 0.7477 0.4240 0.6579  5 Pu 2.78-2.84, 1 Na 2.87
S: 0.2523 0.9181 0.6579  5 Pu 2.78-2.84, 1 Na 2.87
Pu: 0.5000 0.1645 0.6710  6 S 2.78-2.82
Pu: 0.0000 0.3334 0.3333  6 S 2.79-2.81
Pu: 0.5000 0.5000 0.0000  6 S 2.80-2.84
Pu: 0.0000 0.6666 0.6667  6 S 2.79-2.81
Pu: 0.5000 0.8355 0.3290  6 S 2.78-2.82

## Properties
* spin magnetization: 16.7 μB/f.u.
* crystal system: monoclinic
* formation energy (no corrections): -1648 meV per atom

=====

Entry from the Alexandria database: a geometry-optimized YSi3F structure (PBE-GGA).

Cell: 5.4467 5.4467 5.4467 Å, 90.00 90.00 90.00°
With the nearest neighbours (Å) after each atom.
Fractional coordinates of all 5 atoms:
Y: 0.0000 0.0000 0.0000  6 Si 2.72
Si: 0.0000 0.5000 0.0000  2 Y 2.72
Si: 0.0000 0.0000 0.5000  2 Y 2.72
Si: 0.5000 0.0000 0.0000  2 Y 2.72
F: 0.5000 0.5000 0.5000  12 Si 3.85

## Properties
* energy relative to the lowest polymorph listed for this composition: 1307 meV per atom
* spin magnetization: 0.6 μB/f.u.
* crystal system: cubic
* formation energy (no corrections): 1033 meV per atom

=====

Entry from the Alexandria database: a geometry-optimized RbCr2AgSe structure (PBE-GGA).

Cell: 5.6310 5.8094 5.6310 Å, 90.00 90.00 90.00°
With the nearest neighbours (Å) after each atom.
Fractional coordinates of all 5 atoms:
Cr: 0.0000 0.0000 0.5000  2 Rb 2.82
Cr: 0.5000 0.0000 0.0000  2 Rb 2.82
Se: 0.0000 0.5000 0.0000  2 Rb 2.90
Rb: 0.0000 0.0000 0.0000  4 Cr 2.82, 2 Se 2.90
Ag: 0.5000 0.5000 0.5000  4 Se 3.98, 8 Cr 4.05

## Properties
* spin magnetization: 10.0 μB/f.u.
* crystal system: tetragonal
* formation energy (no corrections): 1819 meV per atom

=====

Entry from the Alexandria database: a geometry-optimized Nd3Sm2Y6Er structure (PBE-GGA).

Cell: 6.2473 6.2473 11.8817 Å, 95.01 95.01 119.98°
With the nearest neighbours (Å) after each atom.
Fractional coordinates of all 12 atoms:
Nd: 0.1668 0.8332 0.5000  6 Nd 3.61, 6 Y 3.61
Nd: 0.8332 0.1668 0.5000  6 Nd 3.61, 6 Y 3.61
Nd: 0.5000 0.5000 0.5000  6 Nd 3.61, 6 Y 3.61
Sm: 0.3336 0.6664 0.0000  6 Y 3.57, 3 Sm 3.60-3.61, 3 Er 3.61
Sm: 0.6664 0.3336 0.0000  6 Y 3.57, 3 Sm 3.60-3.61, 3 Er 3.61
Y: 0.9175 0.5846 0.7522  1 Er 3.57, 2 Sm 3.57, 6 Y 3.60-3.61, 3 Nd 3.61
Y: 0.7499 0.7499 0.2482  1 Er 3.57, 2 Sm 3.57, 6 Y 3.60-3.61, 3 Nd 3.61
Y: 0.0825 0.4154 0.2478  1 Er 3.57, 2 Sm 3.57, 6 Y 3.60-3.61, 3 Nd 3.61
Y: 0.5846 0.9175 0.7522  1 Er 3.57, 2 Sm 3.57, 6 Y 3.60-3.61, 3 Nd 3.61
Y: 0.2501 0.2501 0.7518  1 Er 3.57, 2 Sm 3.57, 6 Y 3.60-3.61, 3 Nd 3.61
Y: 0.4154 0.0825 0.2478  1 Er 3.57, 2 Sm 3.57, 6 Y 3.60-3.61, 3 Nd 3.61
Er: 0.0000 0.0000 0.0000  6 Y 3.57, 6 Sm 3.61

## Properties
* calculated formation energy: 14 meV/atom
* spin magnetization: 0.0 μB/f.u.
* crystal system: monoclinic

=====

Entry from the Alexandria database: a geometry-optimized CaRe2Rh structure (PBE-GGA).

Cell: 4.9127 4.9127 2.7601 Å, 90.00 90.00 90.00°
With the nearest neighbours (Å) after each atom.
Fractional coordinates of all 4 atoms:
Re: 0.0000 0.0000 0.0000  2 Re 2.76, 4 Ca 2.82, 4 Rh 2.82
Re: 0.5000 0.5000 0.0000  2 Re 2.76, 4 Ca 2.82, 4 Rh 2.82
Ca: 0.0000 0.5000 0.5000  2 Ca 2.76, 8 Re 2.82
Rh: 0.5000 0.0000 0.5000  2 Rh 2.76, 8 Re 2.82

## Properties
* calculated formation energy: 857 meV/atom
* energy relative to the lowest polymorph listed for this composition: 630 meV per atom
* spin magnetization: 0.0 μB/f.u.
* crystal system: tetragonal